Density functional theory data (GGA-PBEsol) for MgGe3Os after structural relaxation.

a = 4.729 Å, b = 4.729 Å, c = 4.729 Å
α = 90.00°, β = 90.00°, γ = 90.00°
Atoms (fractional coordinates):
Mg 0.000 0.000 0.000
Ge 0.000 0.000 0.500
Ge 0.000 0.500 0.000
Ge 0.500 0.000 0.000
Os 0.500 0.500 0.500

Summary:
ΔH_f (0 K) ... 1718 meV per atom
Crystal system ... cubic
DOS(E_F) ... 1.389 states/eV/atom